Entry 1:
# Cs3TbBi2S6

A geometry-optimized Cs3TbBi2S6 structure (PBE-GGA, the Alexandria database).

Cell and atoms, written as POSCAR:
```
Cs3TbBi2S6
1.0
-4.472 1.617 -5.509
6.987 -1.546 -1.320
-2.708 -7.820 1.504
Bi S Cs Tb
2 6 3 1
Direct
0.334 0.666 0.000 Bi
0.666 0.334 0.000 Bi
0.736 0.736 0.187 S
0.062 0.388 0.186 S
0.612 0.938 0.814 S
0.388 0.062 0.186 S
0.264 0.264 0.813 S
0.938 0.612 0.814 S
0.500 0.500 0.500 Cs
0.831 0.169 0.500 Cs
0.169 0.831 0.500 Cs
0.000 0.000 0.000 Tb
```

Properties
Raw formation energy, eV/atom: -1.123
Fermi-level density of states, states/eV/f.u.: 0.00
SG: C2/m (12)
E_tot, eV per atom: -4.432


Entry 2:
# Cs2TlBiS4

A geometry-optimized Cs2TlBiS4 structure (PBE-GGA, the Alexandria database).

Cell and atoms, written as POSCAR:
```
Cs2TlBiS4
1.0
-5.128 -4.820 0.861
3.130 -1.759 8.790
-5.830 6.819 3.441
S Bi Tl Cs
8 2 2 4
Direct
0.949 0.281 0.771 S
0.345 0.106 0.500 S
0.863 0.904 0.500 S
0.845 0.894 0.000 S
0.949 0.281 0.229 S
0.363 0.096 0.000 S
0.449 0.719 0.729 S
0.449 0.719 0.271 S
0.987 0.154 0.500 Bi
0.487 0.846 0.000 Bi
0.490 0.853 0.500 Tl
0.990 0.147 0.000 Tl
0.459 0.337 0.754 Cs
0.959 0.663 0.746 Cs
0.959 0.663 0.254 Cs
0.459 0.337 0.246 Cs
```

Properties
Raw formation energy, eV/atom: -0.608
SG: Pmn2_1 (31)
E_tot, eV per atom: -3.666


Entry 3:
# CsTlBi2S

A geometry-optimized CsTlBi2S structure (PBE-GGA, the Alexandria database).

Cell and atoms, written as POSCAR:
```
CsTlBi2S
1.0
-2.663 0.556 -4.813
-3.291 -5.305 1.207
-3.910 2.996 2.509
Tl Bi S Cs
1 2 1 1
Direct
0.500 0.500 0.500 Tl
0.500 0.000 0.000 Bi
0.000 0.000 0.500 Bi
0.000 0.000 0.000 S
0.000 0.500 0.000 Cs
```

Properties
Raw formation energy, eV/atom: -0.034
Fermi-level density of states, states/eV/f.u.: 2.02
SG: P4/mmm (123)
E_tot, eV per atom: -3.056


Entry 4:
# Cs2Tm2BiS6

A geometry-optimized Cs2Tm2BiS6 structure (PBE-GGA, the Alexandria database).

Cell and atoms, written as POSCAR:
```
Cs2Tm2BiS6
1.0
6.928 -0.034 0.064
-3.454 6.006 0.064
-1.233 -2.119 8.267
Cs S Bi Tm
2 6 1 2
Direct
0.834 0.166 0.000 Cs
0.166 0.834 0.000 Cs
0.941 0.602 0.321 S
0.721 0.721 0.678 S
0.059 0.398 0.679 S
0.279 0.279 0.322 S
0.602 0.941 0.321 S
0.398 0.059 0.679 S
0.000 0.000 0.500 Bi
0.667 0.333 0.500 Tm
0.333 0.667 0.500 Tm
```

Properties
Raw formation energy, eV/atom: -1.379
Fermi-level density of states, states/eV/f.u.: 4.38
SG: C2/m (12)
E_tot, eV per atom: -4.951